The following is a PBEsol calculation of K2W after structural relaxation, from Alexandria via LeMat-Bulk.

Structure (POSCAR):
```
K2W
1.0
-2.371 4.252 4.614
-5.322 3.838 -1.396
-5.887 -1.220 2.974
K W
4 2
Direct
0.125 0.625 0.125 K
0.625 0.125 0.125 K
0.125 0.125 0.125 K
0.125 0.125 0.625 K
0.750 0.750 0.750 W
0.500 0.500 0.500 W
```

Formation enthalpy at 0 K ... 55.1 kcal/mol of atoms
Raw total energy ... -2.9691 eV per atom
Space-group type ... Fd-3m
Total magnetic moment ... 9.5 μB/cell